The following is a DFT calculation (PBE) of a geometry-optimized SnRu2O2 structure.

abc: 7.033 7.033 2.857
angles: 90.00 90.00 90.00
Element x y z (fractional)
O 0.883 0.383 0.500
O 0.383 0.117 0.500
O 0.617 0.883 0.500
O 0.117 0.617 0.500
Ru 0.876 0.624 0.000
Ru 0.376 0.876 0.000
Ru 0.124 0.376 0.000
Ru 0.624 0.124 0.000
Sn 0.500 0.500 0.000
Sn 0.000 0.000 0.000

Calculated values
The density of states at the Fermi level comes out at 5.8 states/eV/f.u. The offset from the most stable computed form is 41.9 kJ/mol of atoms. As for the uncorrected formation energy: 7.38 kcal/mol of atoms. As for the total magnetic moment: 0.01 μB per cell. As for the crystal system: tetragonal.